[1]
# PaTeS

A relaxed PaTeS crystal (PBE, the Open Quantum Materials Database).

**Space group**: P4/nmm
**Electronic total energy**: -6.8615 eV per atom

Lattice parameters (Å, degrees): 4.3870 4.3870 7.8515 90.00 90.00 90.00
Atoms (fractional coordinates):
1 Te 0.5000 0.0000 0.1282
2 Te 0.0000 0.5000 0.8718
3 Pa 0.5000 0.0000 0.7130
4 Pa 0.0000 0.5000 0.2870
5 S 0.0000 0.0000 0.5000
6 S 0.5000 0.5000 0.5000



[2]
# ThPaS4

A relaxed ThPaS4 crystal (PBE, the Open Quantum Materials Database).

**Space group**: P4/mmm
**Electronic total energy**: -7.3754 eV per atom

Lattice parameters (Å, degrees): 4.6583 4.6583 6.6017 90.01 90.01 90.00
Atoms (fractional coordinates):
1 Th 0.0000 0.0000 0.5000
2 S 0.5000 0.0000 0.2454
3 S 0.0000 0.5001 0.7546
4 S 0.0000 0.5000 0.2454
5 S 0.5001 0.0000 0.7546
6 Pa 0.5000 0.5000 0.0000



[3]
# PaTlS3

A relaxed PaTlS3 crystal (PBE, the Open Quantum Materials Database).

**Space group**: R-3
**Electronic total energy**: -6.0971 eV per atom

Lattice parameters (Å, degrees): 8.2092 8.2092 8.2092 51.20 51.20 51.20
Atoms (fractional coordinates):
1 Tl 0.1377 0.1377 0.1377
2 Tl 0.8623 0.8623 0.8623
3 Pa 0.6636 0.6636 0.6636
4 Pa 0.3364 0.3364 0.3364
5 S 0.5355 0.3180 0.9367
6 S 0.3181 0.9367 0.5355
7 S 0.9367 0.5355 0.3180
8 S 0.0633 0.4645 0.6819
9 S 0.4645 0.6819 0.0633
10 S 0.6819 0.0633 0.4645